VASP calculation (PBE) on a relaxed TaIn2Ag crystal.

Cell: 2.982 2.982 9.446 Å, 90.00 90.00 89.97°
Element x y z (fractional)
Ta1 0.000 0.000 0.509
In1 0.000 0.000 0.983
Ag1 0.500 0.500 0.730
In2 0.500 0.500 0.277

Calculated values
Formation enthalpy at 0 K in eV/atom: 0.246
Total energy in eV/cell: -19.20